{
  "formula": "K2MnHg",
  "functional": "PBE-GGA",
  "state": "relaxed",
  "mass_density_g_cm3": 3.72,
  "ef_ev_per_atom": 0.362,
  "e_tot_ev_per_atom": -2.555,
  "cell": [[-0.083, 6.817, 0.929], [-1.104, 2.086, 6.463], [4.190, -3.744, -3.972]],
  "species": ["Mn", "K", "Hg", "K"],
  "frac_coords": [[0.441, 0.441, 0.000], [0.731, 0.231, 0.500], [0.298, 0.798, 0.500], [0.031, 0.031, 0.000]]
}